[1]
# LiTbPa (GGA-PBE, relaxed)
# total DFT energy (no corrections)	-4.063	eV per atom
data_LiTbPa
_chemical_formula_sum 'Li4 Tb4 Pa4'
_cell_length_a 6.909
_cell_length_b 6.909
_cell_length_c 6.909
_cell_angle_alpha 90.00
_cell_angle_beta 90.00
_cell_angle_gamma 90.00
_space_group_name_H-M_alt 'F -4 3 m'
_space_group_IT_number 216
_space_group_name_Hall 'F -4 2 3'
loop_
_atom_site_label
_atom_site_type_symbol
_atom_site_fract_x
_atom_site_fract_y
_atom_site_fract_z
Li1 Li 0.000 0.000 0.000
Tb1 Tb 0.000 0.000 0.500
Pa1 Pa 0.250 0.250 0.250



[2]
# GdCuSnSe3 (GGA-PBE, relaxed)
# distance to the lowest polymorph of the same formula	0.0	kJ/mol of atoms
# total DFT energy (no corrections)	-4.759	eV per atom
data_GdCuSnSe3
_chemical_formula_sum 'Gd4 Cu4 Sn4 Se12'
_cell_length_a 10.686
_cell_length_b 4.049
_cell_length_c 13.441
_cell_angle_alpha 90.00
_cell_angle_beta 90.00
_cell_angle_gamma 90.00
_space_group_name_H-M_alt 'P n m a'
_space_group_IT_number 62
loop_
_space_group_symop_operation_xyz
'x,y,z'
'-x,-y,-z'
'-x+1/2,-y,z+1/2'
'x+1/2,y,-z+1/2'
'x+1/2,-y+1/2,-z+1/2'
'-x+1/2,y+1/2,z+1/2'
'-x,y+1/2,-z'
'x,-y+1/2,z'
loop_
_atom_site_label
_atom_site_type_symbol
_atom_site_fract_x
_atom_site_fract_y
_atom_site_fract_z
Gd1 Gd 0.019 0.250 0.240
Cu1 Cu 0.237 0.250 0.720
Sn1 Sn 0.218 0.750 0.507
Se1 Se 0.048 0.250 0.612
Se2 Se 0.091 0.750 0.100
Se3 Se 0.236 0.750 0.832



[3]
# RbTmPtSe3 (GGA-PBE, relaxed)
# total DFT energy (no corrections)	-4.776	eV per atom
data_RbTmPtSe3
_chemical_formula_sum 'Rb4 Tm4 Pt4 Se12'
_cell_length_a 4.013
_cell_length_b 16.210
_cell_length_c 10.168
_cell_angle_alpha 90.00
_cell_angle_beta 90.00
_cell_angle_gamma 90.00
_space_group_name_H-M_alt 'C m c m'
_space_group_IT_number 63
_space_group_name_Hall '-C 2c 2'
loop_
_atom_site_label
_atom_site_type_symbol
_atom_site_fract_x
_atom_site_fract_y
_atom_site_fract_z
Rb1 Rb 0.000 0.246 0.250
Tm1 Tm 0.000 0.000 0.000
Pt1 Pt 0.000 0.487 0.750
Se1 Se 0.000 0.082 0.750
Se2 Se 0.000 0.383 0.567



[4]
# NdScMo (GGA-PBE, relaxed)
# distance to the lowest polymorph of the same formula	0.0	kJ/mol of atoms
# total DFT energy (no corrections)	-6.214	eV per atom
data_NdScMo
_chemical_formula_sum 'Nd4 Sc4 Mo4'
_cell_length_a 6.748
_cell_length_b 6.748
_cell_length_c 6.748
_cell_angle_alpha 90.00
_cell_angle_beta 90.00
_cell_angle_gamma 90.00
_space_group_name_H-M_alt 'F -4 3 m'
_space_group_IT_number 216
_space_group_name_Hall 'F -4 2 3'
loop_
_atom_site_label
_atom_site_type_symbol
_atom_site_fract_x
_atom_site_fract_y
_atom_site_fract_z
Nd1 Nd 0.000 0.000 0.000
Sc1 Sc 0.250 0.250 0.750
Mo1 Mo 0.000 0.000 0.500



[5]
# Zr4AlPC2 (GGA-PBE, relaxed)
# total DFT energy (no corrections)	-8.568	eV per atom
data_Zr4AlPC2
_chemical_formula_sum 'Zr4 Al1 P1 C2'
_cell_length_a 3.3949
_cell_length_b 3.3949
_cell_length_c 13.3838
_cell_angle_alpha 90.00
_cell_angle_beta 90.00
_cell_angle_gamma 120.00
_space_group_name_H-M_alt 'P -6 m 2'
_space_group_IT_number 187
_space_group_name_Hall 'P -6 2'
loop_
_atom_site_label
_atom_site_type_symbol
_atom_site_fract_x
_atom_site_fract_y
_atom_site_fract_z
Zr1 Zr 0.0000 0.0000 0.1359
Zr2 Zr 0.6667 0.3333 0.3267
Al1 Al 0.0000 0.0000 0.5000
P1 P 0.6667 0.3333 0.0000
C1 C 0.3333 0.6667 0.2337



[6]
# NbNiSnOs (GGA-PBE, relaxed)
# total DFT energy (no corrections)	-7.533	eV per atom
data_NbNiSnOs
_chemical_formula_sum 'Nb4 Ni4 Sn4 Os4'
_cell_length_a 6.352
_cell_length_b 6.352
_cell_length_c 6.352
_cell_angle_alpha 90.00
_cell_angle_beta 90.00
_cell_angle_gamma 90.00
_space_group_name_H-M_alt 'F -4 3 m'
_space_group_IT_number 216
_space_group_name_Hall 'F -4 2 3'
loop_
_atom_site_label
_atom_site_type_symbol
_atom_site_fract_x
_atom_site_fract_y
_atom_site_fract_z
Nb1 Nb 0.000 0.000 0.000
Ni1 Ni 0.000 0.000 0.500
Sn1 Sn 0.250 0.250 0.250
Os1 Os 0.250 0.250 0.750



[7]
# ScCoGe (GGA-PBE, relaxed)
# total DFT energy (no corrections)	-6.460	eV per atom
data_ScCoGe
_chemical_formula_sum 'Sc4 Co4 Ge4'
_cell_length_a 5.876
_cell_length_b 5.876
_cell_length_c 5.876
_cell_angle_alpha 90.00
_cell_angle_beta 90.00
_cell_angle_gamma 90.00
_space_group_name_H-M_alt 'F -4 3 m'
_space_group_IT_number 216
_space_group_name_Hall 'F -4 2 3'
loop_
_atom_site_label
_atom_site_type_symbol
_atom_site_fract_x
_atom_site_fract_y
_atom_site_fract_z
Sc1 Sc 0.000 0.000 0.000
Co1 Co 0.250 0.250 0.750
Ge1 Ge 0.000 0.000 0.500



[8]
# ErHf2Zn3CuAu2 (GGA-PBE, relaxed)
# total DFT energy (no corrections)	-4.691	eV per atom
data_ErHf2Zn3CuAu2
_chemical_formula_sum 'Er2 Hf4 Zn6 Cu2 Au4'
_cell_length_a 3.687
_cell_length_b 12.436
_cell_length_c 7.110
_cell_angle_alpha 90.00
_cell_angle_beta 90.00
_cell_angle_gamma 90.00
_space_group_name_H-M_alt 'A m m 2'
_space_group_IT_number 38
loop_
_space_group_symop_operation_xyz
'x,y,z'
'-x,-y,z'
'-x,y,z'
'x,-y,z'
'x,y+1/2,z+1/2'
'-x,-y+1/2,z+1/2'
'-x,y+1/2,z+1/2'
'x,-y+1/2,z+1/2'
loop_
_atom_site_label
_atom_site_type_symbol
_atom_site_fract_x
_atom_site_fract_y
_atom_site_fract_z
Er1 Er 0.000 0.000 0.000
Hf1 Hf 0.000 0.200 0.400
Zn1 Zn 0.500 0.000 0.354
Zn2 Zn 0.500 0.122 0.718
Cu1 Cu 0.000 0.000 0.588
Au1 Au 0.500 0.172 0.102



Among the records above, which one has the lowest total DFT energy (no corrections)?
Zr4AlPC2